(1)
The following is a DFT calculation (PBE-GGA) of TbAlAu after structural relaxation.

a = 4.6841 Å, b = 4.6841 Å, c = 4.6841 Å
α = 60.00°, β = 60.00°, γ = 60.00°
Closest atoms and distances in Å follow each position.
Atoms (fractional coordinates):
1 Tb 0.0000 0.0000 0.0000  4 Au 2.87
2 Al 0.5000 0.5000 0.5000  4 Au 2.87
3 Au 0.2500 0.2500 0.2500  4 Tb 2.87, 4 Al 2.87

Computed properties:
Uncorrected energy in eV per atom: -4.468
N(E_F) in states/eV per cell: 5.4
E_form in eV per atom: -0.58

---

(2)
The following is a DFT calculation (PBE-GGA) of La3Y7Er after structural relaxation.

a = 6.5881 Å, b = 6.7776 Å, c = 8.7174 Å
α = 99.92°, β = 98.21°, γ = 95.17°
Closest atoms and distances in Å follow each position.
Atoms (fractional coordinates):
1 La 0.0000 0.0000 0.0000  8 Y 3.46-3.79, 4 La 3.76-3.87
2 La 0.1940 0.5624 0.1658  6 Y 3.41-3.73, 2 La 3.50-3.76
3 La 0.8060 0.4376 0.8342  6 Y 3.41-3.73, 2 La 3.50-3.76
4 Y 0.0104 0.7702 0.5789  6 Y 3.40-3.76, 1 Er 3.66, 2 La 3.73-3.75
5 Y 0.2848 0.2762 0.7886  1 Er 3.42, 6 Y 3.45-3.76, 4 La 3.45-3.68
6 Y 0.4391 0.7931 0.8517  6 Y 3.40-3.62, 3 La 3.56-3.79, 1 Er 3.64
7 Y 0.5000 0.5000 0.5000  2 Er 3.39, 2 La 3.41, 6 Y 3.45-3.60
8 Y 0.5609 0.2069 0.1483  6 Y 3.40-3.62, 3 La 3.56-3.79, 1 Er 3.64
9 Y 0.7152 0.7238 0.2114  1 Er 3.42, 6 Y 3.45-3.76, 4 La 3.45-3.68
10 Y 0.9896 0.2298 0.4211  6 Y 3.40-3.76, 1 Er 3.66, 2 La 3.73-3.75
11 Er 0.5000 0.0000 0.5000  8 Y 3.39-3.66

Computed properties:
Excess energy over the best structure of this formula in the dataset in meV/atom: 0.0
Uncorrected energy in eV per atom: -5.751
N(E_F) in states/eV per cell: 19.0
E_form in eV per atom: 0.12

---

Short version: total moment = 0.002 0.003 μB/cell, in the order given.